(1)
VASP calculation (PBE-GGA) on a geometry-optimized TaAlIr2 structure.

calculated formation energy = -79 kJ/mol of formula units
space-group type = F-43m, No. 216

Geometry as POSCAR:
```
TaAlIr2
1.0
4.442 0.000 0.000
2.221 3.847 0.000
2.221 1.282 3.627
Ir Al Ta
2 1 1
Cartesian
2.221 1.282 0.907
0.000 0.000 0.000
4.442 2.565 1.813
6.663 3.847 2.720
```

=====

(2)
VASP calculation (PBE-GGA) on a geometry-optimized TaAl2Ir structure.

calculated formation energy = -103 kJ/mol of formula units
space-group type = Fm-3m, No. 225

Geometry as POSCAR:
```
TaAl2Ir
1.0
0.000 3.127 3.127
3.127 0.000 3.127
3.127 3.127 0.000
Ta Al Ir
1 2 1
Cartesian
0.000 0.000 0.000
1.563 1.563 1.563
4.690 4.690 4.690
3.127 3.127 3.127
```

=====

(3)
VASP calculation (PBE-GGA) on a geometry-optimized Ta2AlIr structure.

calculated formation energy = -154 kJ/mol of formula units
space-group type = P4/mmm, No. 123

Geometry as POSCAR:
```
Ta2AlIr
1.0
2.862 0.006 0.000
-0.007 2.862 0.000
0.000 0.000 8.069
Ta Al Ir
2 1 1
Cartesian
0.000 0.000 4.115
0.000 0.000 7.988
1.428 1.434 2.017
1.428 1.434 6.052
```

=====

(4)
VASP calculation (PBE-GGA) on a geometry-optimized TaAl2Ir structure.

calculated formation energy = -162 kJ/mol of formula units
space-group type = Pm, No. 6

Geometry as POSCAR:
```
TaAl2Ir
1.0
4.359 0.000 0.000
0.000 2.894 -0.001
0.000 1.411 5.019
Ta Al Ir
1 2 1
Cartesian
2.179 3.063 3.602
2.179 1.607 1.205
0.000 0.179 0.196
0.000 1.608 2.523
```

=====

(5)
VASP calculation (PBE-GGA) on a geometry-optimized TaAlIr2 structure.

calculated formation energy = 108 kJ/mol of formula units
space-group type = I-42d, No. 122

Geometry as POSCAR:
```
TaAlIr2
1.0
5.938 0.000 0.000
0.000 5.938 0.000
2.969 2.969 5.070
Ir Al Ta
4 2 2
Cartesian
4.454 4.499 3.802
7.423 7.378 3.802
4.408 1.485 1.267
1.530 4.454 1.267
2.969 5.938 2.535
2.969 2.969 0.000
5.938 2.969 2.535
0.000 0.000 0.000
```

=====

(6)
VASP calculation (PBE-GGA) on a geometry-optimized TaAl2Ir structure.

calculated formation energy = -159 kJ/mol of formula units
space-group type = P2/m, No. 10

Geometry as POSCAR:
```
TaAl2Ir
1.0
4.202 0.000 0.000
0.000 2.898 0.011
0.000 0.753 5.197
Al Ta Ir
2 1 1
Cartesian
0.000 1.471 2.571
0.000 0.355 0.033
2.101 2.738 3.906
2.101 0.913 1.302
```

=====

(7)
VASP calculation (PBE-GGA) on a geometry-optimized Ta2AlIr structure.

calculated formation energy = -67 kJ/mol of formula units
space-group type = R-3m, No. 166

Geometry as POSCAR:
```
Ta2AlIr
1.0
9.432 -0.017 -0.010
8.996 2.837 -0.010
8.996 1.377 2.480
Ta Al Ir
2 1 1
Cartesian
13.647 2.088 1.225
0.065 0.010 0.006
6.856 1.049 0.615
20.568 3.148 1.846
```

=====

(8)
VASP calculation (PBE-GGA) on a geometry-optimized TaAlIr2 structure.

calculated formation energy = -186 kJ/mol of formula units
space-group type = R-3m, No. 166

Geometry as POSCAR:
```
TaAlIr2
1.0
-7.518 -2.687 3.339
-6.585 -5.171 2.186
-5.698 -4.377 4.823
Ir Ta Al
2 1 1
Cartesian
-9.834 -6.077 5.140
-0.066 -0.041 0.034
-4.950 -3.059 2.587
-14.850 -9.176 7.761
```

=====

(9)
VASP calculation (PBE-GGA) on a geometry-optimized Ta2AlIr structure.

calculated formation energy = -150 kJ/mol of formula units
space-group type = I4/mmm, No. 139

Geometry as POSCAR:
```
Ta2AlIr
1.0
5.082 -0.004 0.000
2.082 4.636 0.000
-3.582 -2.316 2.763
Ta Al Ir
2 1 1
Cartesian
0.000 0.000 0.000
3.582 2.316 0.000
1.041 2.318 1.381
2.541 -0.002 1.381
```

=====

(10)
VASP calculation (PBE-GGA) on a geometry-optimized Ta3AlIr structure.

calculated formation energy = 646 kJ/mol of formula units
space-group type = Pm-3m, No. 221

Geometry as POSCAR:
```
Ta3AlIr
1.0
4.596 0.000 0.000
0.000 4.596 0.000
0.000 0.000 4.596
Ta Ir Al
3 1 1
Cartesian
0.000 0.000 2.298
2.298 0.000 0.000
0.000 2.298 0.000
2.298 2.298 2.298
0.000 0.000 0.000
```

=====

(11)
VASP calculation (PBE-GGA) on a geometry-optimized Ta2AlIr structure.

calculated formation energy = -155 kJ/mol of formula units
space-group type = C2/m, No. 12

Geometry as POSCAR:
```
Ta2AlIr
1.0
-4.984 3.841 -0.078
1.253 -2.562 -4.048
-2.573 -1.242 -0.024
Ta Al Ir
2 1 1
Cartesian
-3.778 1.299 -0.051
0.000 0.000 0.000
-0.660 -1.902 -2.036
-1.865 0.639 -2.063
```

=====

(12)
VASP calculation (PBE-GGA) on a geometry-optimized TaAlIr2 structure.

calculated formation energy = -221 kJ/mol of formula units
space-group type = Pm, No. 6

Geometry as POSCAR:
```
TaAlIr2
1.0
-3.344 0.416 -2.221
1.579 -0.112 -2.398
1.021 -5.483 -2.563
Ta Ir Al
1 2 1
Cartesian
1.304 -2.688 -2.466
-1.039 -1.365 -2.358
1.057 -5.206 -2.565
0.255 -4.201 -4.837
```

=====

calculated formation energy of number 11 (Ta2AlIr)?
-155 kJ/mol of formula units